The following is a GGA+U calculation of a relaxed Tc2TeWO crystal, from Alexandria via LeMat-Bulk.

a b c (Å): 4.2912 4.2912 4.2181
angles (deg): 90.00 90.00 90.00
With the nearest neighbours (Å) after each atom.
Atoms (fractional coordinates):
Tc (0.0000, 0.5000, 0.0000)  2 O 2.15
Tc (0.5000, 0.0000, 0.0000)  2 O 2.15
Te (0.0000, 0.0000, 0.5000)  8 Tc 3.01, 4 W 3.03
W (0.5000, 0.5000, 0.5000)  2 O 2.11
O (0.5000, 0.5000, 0.0000)  2 W 2.11, 4 Tc 2.15

## Properties
The calculation puts the volume at 78 Å³/f.u. Its magnetization is 0.393 μB/atom. As for the total energy: -6.743 eV/atom.